Entry from Alexandria: an optimized crystal structure of Mn2BeSi2 (PBE).

Energy relative to the lowest polymorph listed for this composition ... 0 meV/atom
Formation energy without anion corrections ... -0.144 eV per atom
Total magnetization ... 3.99 μB/cell

Unit cell a=6.2884 b=6.2884 c=2.8729 alpha=90.00 beta=90.00 gamma=90.00
Atoms (fractional coordinates):
Be: 0.5000 0.5000 0.0000
Be: 0.0000 0.0000 0.0000
Mn: 0.8389 0.3389 0.5000
Mn: 0.6611 0.8389 0.5000
Mn: 0.1611 0.6611 0.5000
Mn: 0.3389 0.1611 0.5000
Si: 0.1374 0.3626 0.0000
Si: 0.8626 0.6374 0.0000
Si: 0.3626 0.8626 0.0000
Si: 0.6374 0.1374 0.0000

***

Entry from Alexandria: an optimized crystal structure of Cd3RuO6 (PBE).

Formation energy without anion corrections ... -0.891 eV per atom
Total magnetization ... 4.03 μB/cell

Unit cell a=6.5241 b=6.5241 c=6.5241 alpha=90.47 beta=90.47 gamma=90.47
Atoms (fractional coordinates):
Cd: 0.2512 0.5493 0.0613
Cd: 0.4507 0.9387 0.7488
Cd: 0.9387 0.7488 0.4507
Cd: 0.7488 0.4507 0.9387
Cd: 0.0613 0.2512 0.5493
Cd: 0.5493 0.0613 0.2512
O: 0.9337 0.7185 0.0644
O: 0.7185 0.0644 0.9337
O: 0.0644 0.9337 0.7185
O: 0.5519 0.4108 0.2161
O: 0.2815 0.9356 0.0663
O: 0.2161 0.5519 0.4108
O: 0.9356 0.0663 0.2815
O: 0.5892 0.7839 0.4481
O: 0.0663 0.2815 0.9356
O: 0.4481 0.5892 0.7839
O: 0.7839 0.4481 0.5892
O: 0.4108 0.2161 0.5519
Ru: 0.0000 0.0000 0.0000
Ru: 0.5000 0.5000 0.5000

***

Entry from Alexandria: an optimized crystal structure of Cs2TlReF6 (PBE).

Formation energy without anion corrections ... -2.117 eV per atom
Total magnetization ... 2.00 μB/cell

Unit cell a=6.7160 b=6.7160 c=6.7385 alpha=60.11 beta=60.11 gamma=90.00
Atoms (fractional coordinates):
F: 0.2835 0.7165 0.0000
F: 0.7165 0.2835 0.0000
F: 0.2835 0.2835 0.0000
F: 0.7192 0.7192 0.5617
F: 0.7165 0.7165 0.0000
F: 0.2808 0.2808 0.4383
Re: 0.5000 0.5000 0.0000
Cs: 0.7500 0.2500 0.5000
Cs: 0.2500 0.7500 0.5000
Tl: 0.0000 0.0000 0.0000

***

Entry from Alexandria: an optimized crystal structure of CeCo2SiH (PBE).

Raw total energy ... -6.353 eV/atom
Total magnetization ... 0.00 μB/cell

Unit cell a=3.7982 b=5.5633 c=6.4377 alpha=90.00 beta=90.00 gamma=109.96
Atoms (fractional coordinates):
H: 0.0000 0.0000 0.5000
H: 0.0000 0.0000 0.0000
Co: 0.8375 0.6751 0.4492
Co: 0.1625 0.3249 0.5508
Co: 0.8375 0.6751 0.0508
Co: 0.1625 0.3249 0.9492
Si: 0.2928 0.5857 0.2500
Si: 0.7072 0.4143 0.7500
Ce: 0.5767 0.1534 0.2500
Ce: 0.4233 0.8466 0.7500

***

Entry from Alexandria: an optimized crystal structure of HoPaOs2 (PBE).

DFT formation energy ... -22.6 kJ/mol of atoms
Energy relative to the lowest polymorph listed for this composition ... 57 meV/atom
Total magnetization ... 0.00 μB/cell

Unit cell a=4.8484 b=4.8484 c=4.8484 alpha=60.00 beta=60.00 gamma=60.00
Atoms (fractional coordinates):
Pa: 0.0000 0.0000 0.0000
Os: 0.2500 0.2500 0.2500
Os: 0.7500 0.7500 0.7500
Ho: 0.5000 0.5000 0.5000

***

Entry from Alexandria: an optimized crystal structure of Ba2CrRe (PBE).

DFT formation energy ... 75.4 kJ/mol of atoms
Energy relative to the lowest polymorph listed for this composition ... 236 meV/atom
Total magnetization ... 2.26 μB/cell

Unit cell a=6.8482 b=6.8482 c=6.8482 alpha=147.44 beta=132.93 gamma=58.41
Atoms (fractional coordinates):
Cr: 0.4247 0.4247 0.0000
Ba: 0.0216 0.0216 0.0000
Ba: 0.7370 0.2370 0.5000
Re: 0.3167 0.8167 0.5000

***

Q: total magnetization of number 6 (Ba2CrRe)?
A: 2.26 μB/cell

***

Please write out number 2 again, unchanged.
Entry from Alexandria: an optimized crystal structure of Cd3RuO6 (PBE).

Formation energy without anion corrections ... -0.891 eV per atom
Total magnetization ... 4.03 μB/cell

Unit cell a=6.5241 b=6.5241 c=6.5241 alpha=90.47 beta=90.47 gamma=90.47
Atoms (fractional coordinates):
Cd: 0.2512 0.5493 0.0613
Cd: 0.4507 0.9387 0.7488
Cd: 0.9387 0.7488 0.4507
Cd: 0.7488 0.4507 0.9387
Cd: 0.0613 0.2512 0.5493
Cd: 0.5493 0.0613 0.2512
O: 0.9337 0.7185 0.0644
O: 0.7185 0.0644 0.9337
O: 0.0644 0.9337 0.7185
O: 0.5519 0.4108 0.2161
O: 0.2815 0.9356 0.0663
O: 0.2161 0.5519 0.4108
O: 0.9356 0.0663 0.2815
O: 0.5892 0.7839 0.4481
O: 0.0663 0.2815 0.9356
O: 0.4481 0.5892 0.7839
O: 0.7839 0.4481 0.5892
O: 0.4108 0.2161 0.5519
Ru: 0.0000 0.0000 0.0000
Ru: 0.5000 0.5000 0.5000

***

Q: Which of these has the highest total magnetization?
A: Cd3RuO6